# 1
This record from Alexandria via LeMat-Bulk describes an optimized crystal structure of DyTm4Sc. The functional is GGA-PBE.

Cell: 5.473 3.539 18.351 Å, 90.00 90.00 90.00°
Space group Amm2 (No. 38)
One atom of each set of equivalent atoms:
Dy: 0.000 0.000 0.000
Tm: 0.000 0.000 0.330
Tm: 0.000 0.000 0.668
Tm: 0.500 0.000 0.557
Tm: 0.500 0.000 0.885
Sc: 0.500 0.000 0.223

Energy of formation   7 meV/atom
Crystal system   orthorhombic
Total moment   0.00 μB/f.u.
Density   8.253 g/cm³
Energy above the most stable polymorph in this dataset   0 meV/atom



# 2
This record from Alexandria via LeMat-Bulk describes an optimized crystal structure of Dy3Tm7Sc2. The functional is GGA-PBE.

Cell: 5.552 36.794 3.504 Å, 90.00 90.00 90.00°
Space group Cmmm (No. 65)
One atom of each set of equivalent atoms:
Dy: 0.000 0.000 0.000
Dy: 0.000 0.184 0.000
Tm: 0.000 0.094 0.500
Tm: 0.000 0.270 0.500
Tm: 0.000 0.427 0.000
Tm: 0.000 0.500 0.500
Sc: 0.000 0.353 0.500

Energy of formation   120 meV/atom
Crystal system   orthorhombic
Total moment   0.00 μB/f.u.
Density   8.167 g/cm³
Energy above the most stable polymorph in this dataset   0 meV/atom



# 3
This record from Alexandria via LeMat-Bulk describes an optimized crystal structure of Dy19Tm4Sc6. The functional is GGA-PBE.

Cell: 9.186 9.961 11.081 Å, 106.31 107.17 101.51°
Space group P1 (No. 1)
One atom of each set of equivalent atoms:
Dy: 0.000 0.000 0.000
Dy: 0.025 0.618 0.288
Dy: 0.055 0.246 0.575
Dy: 0.126 0.921 0.586
Dy: 0.161 0.550 0.886
Dy: 0.227 0.219 0.889
Dy: 0.253 0.843 0.181
Dy: 0.309 0.905 0.904
Dy: 0.427 0.823 0.494
Dy: 0.491 0.495 0.500
Dy: 0.599 0.796 0.803
Dy: 0.619 0.419 0.082
Dy: 0.647 0.049 0.378
Dy: 0.717 0.719 0.382
Dy: 0.747 0.346 0.682
Dy: 0.802 0.397 0.398
Dy: 0.903 0.698 0.700
Dy: 0.929 0.320 0.993
Dy: 0.946 0.948 0.275
Tm: 0.200 0.599 0.597
Tm: 0.399 0.203 0.204
Tm: 0.825 0.024 0.691
Tm: 0.853 0.646 0.982
Sc: 0.101 0.296 0.299
Sc: 0.326 0.519 0.192
Sc: 0.344 0.139 0.473
Sc: 0.528 0.114 0.789
Sc: 0.550 0.755 0.086
Sc: 0.701 0.099 0.099

Energy of formation   79 meV/atom
Crystal system   triclinic
Total moment   0.00 μB/f.u.
Density   7.571 g/cm³



# 4
This record from Alexandria via LeMat-Bulk describes an optimized crystal structure of Dy2Tm5Sc. The functional is GGA-PBE.

Cell: 5.412 11.717 15.351 Å, 90.00 90.00 90.00°
Space group Cmcm (No. 63)
One atom of each set of equivalent atoms:
Dy: 0.000 0.220 0.132
Tm: 0.000 0.082 0.594
Tm: 0.000 0.383 0.550
Tm: 0.000 0.461 0.250
Sc: 0.000 0.268 0.750

Energy of formation   140 meV/atom
Crystal system   orthorhombic
Total moment   0.00 μB/f.u.
Density   8.289 g/cm³
Energy above the most stable polymorph in this dataset   130 meV/atom



# 5
This record from Alexandria via LeMat-Bulk describes an optimized crystal structure of Dy3TmSc8. The functional is GGA-PBE.

Cell: 5.917 10.593 10.951 Å, 90.00 90.00 90.00°
Space group Immm (No. 71)
One atom of each set of equivalent atoms:
Dy: 0.000 0.000 0.000
Dy: 0.000 0.248 0.500
Tm: 0.000 0.500 0.000
Sc: 0.000 0.250 0.175
Sc: 0.249 0.000 0.251

Energy of formation   293 meV/atom
Crystal system   orthorhombic
Total moment   0.00 μB/f.u.
Density   4.916 g/cm³



# 6
This record from Alexandria via LeMat-Bulk describes an optimized crystal structure of Dy3TmSc2. The functional is GGA-PBE.

Cell: 22.541 3.367 9.826 Å, 90.00 107.94 90.00°
Space group C2/m (No. 12)
One atom of each set of equivalent atoms:
Dy: 0.059 0.000 0.431
Dy: 0.070 0.500 0.775
Dy: 0.197 0.000 0.708
Tm: 0.186 0.000 0.044
Sc: 0.072 0.500 0.137
Sc: 0.192 0.000 0.372

Energy of formation   149 meV/atom
Crystal system   monoclinic
Total moment   0.00 μB/f.u.
Density   6.988 g/cm³
Energy above the most stable polymorph in this dataset   0 meV/atom



# 7
This record from Alexandria via LeMat-Bulk describes an optimized crystal structure of DyTm8Sc2. The functional is GGA-PBE.

Cell: 16.275 6.442 6.426 Å, 90.00 101.18 90.00°
Space group C2/m (No. 12)
One atom of each set of equivalent atoms:
Dy: 0.000 0.000 0.000
Tm: 0.090 0.262 0.416
Tm: 0.092 0.500 0.912
Tm: 0.241 0.000 0.302
Sc: 0.206 0.000 0.793

Energy of formation   214 meV/atom
Crystal system   monoclinic
Total moment   0.00 μB/f.u.
Density   8.059 g/cm³
Energy above the most stable polymorph in this dataset   86 meV/atom



# 8
This record from Alexandria via LeMat-Bulk describes an optimized crystal structure of DyTm8Sc4. The functional is GGA-PBE.

Cell: 6.9965 6.9965 26.4934 Å, 90.00 90.00 120.00°
Space group R-3m (No. 166, hexagonal axes)
One atom of each set of equivalent atoms:
Dy: 0.0000 0.0000 0.0000
Tm: 0.0000 0.0000 0.2838
Tm: 0.0312 0.5156 0.2632
Sc: 0.0000 0.0000 0.5000
Sc: 0.0000 0.5000 0.5000

Energy of formation   269 meV/atom
Crystal system   trigonal
Total moment   0.00 μB/f.u.
Density   7.513 g/cm³



# 9
This record from Alexandria via LeMat-Bulk describes an optimized crystal structure of Dy3Tm7Sc2. The functional is GGA-PBE.

Cell: 3.541 5.388 19.936 Å, 90.00 95.14 90.00°
Space group P2/m (No. 10)
One atom of each set of equivalent atoms:
Dy: 0.000 0.000 0.000
Dy: 0.329 0.500 0.662
Tm: 0.090 0.500 0.177
Tm: 0.215 0.000 0.429
Tm: 0.430 0.000 0.863
Tm: 0.500 0.500 0.000
Sc: 0.140 0.000 0.274

Energy of formation   241 meV/atom
Crystal system   monoclinic
Total moment   0.02 μB/f.u.
Density   7.715 g/cm³
Energy above the most stable polymorph in this dataset   121 meV/atom



# 10
This record from Alexandria via LeMat-Bulk describes an optimized crystal structure of Dy3Tm2Sc. The functional is GGA-PBE.

Cell: 17.226 7.028 6.094 Å, 90.00 103.59 90.00°
Space group C2/c (No. 15)
One atom of each set of equivalent atoms:
Dy: 0.000 0.129 0.250
Dy: 0.166 0.126 0.024
Tm: 0.165 0.377 0.529
Sc: 0.000 0.378 0.750

Energy of formation   20 meV/atom
Crystal system   monoclinic
Total moment   0.00 μB/f.u.
Density   8.062 g/cm³
Energy above the most stable polymorph in this dataset   0 meV/atom



# 11
This record from Alexandria via LeMat-Bulk describes an optimized crystal structure of Dy5Tm2Sc3. The functional is GGA-PBE.

Cell: 10.467 15.435 9.109 Å, 90.00 124.90 90.00°
Space group C2/c (No. 15)
One atom of each set of equivalent atoms:
Dy: 0.000 0.018 0.250
Dy: 0.000 0.217 0.250
Dy: 0.000 0.482 0.750
Dy: 0.247 0.145 0.741
Tm: 0.153 0.136 0.047
Sc: 0.000 0.284 0.750
Sc: 0.144 0.365 0.547

Energy of formation   194 meV/atom
Crystal system   monoclinic
Total moment   0.00 μB/f.u.
Density   7.073 g/cm³



# 12
This record from Alexandria via LeMat-Bulk describes an optimized crystal structure of Dy7Tm4Sc. The functional is GGA-PBE.

Cell: 18.359 6.942 5.843 Å, 90.00 91.57 90.00°
Space group C2/m (No. 12)
One atom of each set of equivalent atoms:
Dy: 0.000 0.000 0.000
Dy: 0.039 0.500 0.254
Dy: 0.187 0.000 0.253
Dy: 0.214 0.500 0.238
Tm: 0.135 0.270 0.739
Sc: 0.000 0.000 0.500

Energy of formation   148 meV/atom
Crystal system   monoclinic
Total moment   0.00 μB/f.u.
Density   8.291 g/cm³
Energy above the most stable polymorph in this dataset   65 meV/atom



D(E_F), respectively: 20.696; 37.988; 41.645; 59.987; 50.144; 42.949; 38.014; 54.254; 19.199; 35.774; 66.864; 46.197 states/eV per cell.